# 1
A relaxed Ag2B2S5 crystal, computed with PBE.

```
Ag2B2S5
1.0
7.557 0.000 0.000
-3.778 4.984 -0.593
0.000 -1.381 5.367
Ag B S
2 2 5
Direct
0.375 0.750 0.573
0.625 0.250 0.427
0.157 0.314 0.911
0.843 0.686 0.089
0.343 0.687 0.095
0.657 0.313 0.905
0.117 0.235 0.566
0.883 0.765 0.434
0.000 0.000 0.000
```

Output
Calculated density   3.370 g cm⁻³
SG   C2/m, No. 12
Total magnetization   0.0 Bohr magnetons per cell
VASP energy   -4.35 eV per atom
Energy relative to the elements, uncorrected   0.55 eV/f.u.


# 2
A relaxed Li2AlMo crystal, computed with PBE.

```
Li2AlMo
1.0
-4.314 0.003 -2.863
-2.560 -1.228 -4.330
-2.780 -4.455 0.414
Al Li Mo
1 2 1
Direct
0.252 0.252 0.354
0.990 0.990 0.907
0.748 0.748 0.846
0.510 0.510 0.394
```

Output
Calculated density   3.631 g cm⁻³
SG   Cm, No. 8
Total magnetization   0.0 Bohr magnetons per cell
VASP energy   -4.44 eV per atom
E_form   0.165 eV per atom


# 3
A relaxed BaMnI2 crystal, computed with PBE.

```
BaMnI2
1.0
-5.121 -3.830 2.703
4.342 -2.365 4.874
-2.201 2.317 8.030
I Mn Ba
4 2 2
Direct
0.531 0.125 0.250
0.219 0.625 0.250
0.375 0.469 0.750
0.875 0.781 0.750
0.500 0.500 0.000
0.250 0.750 0.500
0.000 0.000 0.000
0.750 0.250 0.500
```

Output
Calculated density   4.321 g cm⁻³
SG   I-42d, No. 122
Total magnetization   6.2 Bohr magnetons per cell
VASP energy   -3.88 eV per atom
Energy relative to the elements, uncorrected   -1.33 eV/f.u.
Offset from the most stable computed form   0.55 eV per formula unit